(1)
## Sr2NiN2 (SCAN)

Data for Sr2NiN2 at its PBEsol-relaxed geometry.

abc: 3.7824 3.7824 6.7193
angles: 106.35 106.35 90.00
Last column: magnetic moment on the atom in μB.
Positions (direct):
Sr  0.6476  0.6476  0.2953  0.02
N  0.8588  0.8588  0.7175  0.30
Ni  0.0000  0.0000  0.0000  1.11
Sr  0.3524  0.3524  0.7047  0.02
N  0.1412  0.1412  0.2825  0.30

Results
V = 88 Å³/cell
energy = -16.611 eV per atom
space-group type = I4/mmm, No. 139

(2)
## CaLa2Rh (SCAN)

Data for CaLa2Rh at its PBEsol-relaxed geometry.

abc: 4.0502 4.0502 9.9011
angles: 78.20 78.20 60.00
Positions (direct):
La  0.2210  0.2210  0.3368
Ca  0.0000  0.0000  0.0000
Rh  0.5000  0.5000  0.5000
La  0.7790  0.7790  0.6632

Results
V = 137 Å³/cell
calculated formation energy = -1.82 eV per formula unit
energy = -32.866 eV per atom
space-group type = R-3m, No. 166

(3)
## RbCoTe2 (SCAN)

Data for RbCoTe2 at its PBEsol-relaxed geometry.

abc: 6.8002 6.8002 6.8002
angles: 109.28 109.56 109.56
Positions (direct):
Te  0.1191  0.2441  0.6250
Rb  0.0000  0.0000  0.0000
Te  0.3809  0.8750  0.7559
Te  0.6191  0.3750  0.4941
Rb  0.5000  0.7500  0.2500
Te  0.8809  0.5059  0.1250
Co  0.5000  0.2500  0.7500
Co  0.0000  0.5000  0.5000

Results
V = 242 Å³/cell
energy = -28.470 eV per atom
space-group type = I-42d, No. 122

(4)
## Rb2TeSe2 (SCAN)

Data for Rb2TeSe2 at its PBEsol-relaxed geometry.

abc: 5.1407 7.7844 7.7844
angles: 90.00 90.00 90.00
Positions (direct):
Te  0.0000  0.5000  0.5000
Rb  0.5000  0.6531  0.8469
Rb  0.5000  0.8469  0.3469
Se  0.0000  0.8377  0.6623
Se  0.0000  0.6623  0.1623
Rb  0.5000  0.3469  0.1531
Se  0.0000  0.3377  0.8377
Rb  0.5000  0.1531  0.6531
Se  0.0000  0.1623  0.3377
Te  0.0000  0.0000  0.0000

Results
V = 312 Å³/cell
energy = -24.617 eV per atom
space-group type = P4/mbm, No. 127

(5)
## IrOsW2 (SCAN)

Data for IrOsW2 at its PBEsol-relaxed geometry.

abc: 4.4056 4.4056 4.4056
angles: 60.00 60.00 60.00
Last column: magnetic moment on the atom in μB.
Positions (direct):
W  0.7500  0.7500  0.7500  0.17
Os  0.5000  0.5000  0.5000  0.18
W  0.2500  0.2500  0.2500  0.17
Ir  0.0000  0.0000  0.0000  0.61

Results
V = 60 Å³/cell
calculated formation energy = 1.77 eV per formula unit
energy = -70.147 eV per atom
space-group type = Fm-3m, No. 225

(6)
## Y4AlAu (SCAN)

Data for Y4AlAu at its PBEsol-relaxed geometry.

abc: 6.0093 6.0093 6.0093
angles: 60.00 60.00 60.00
Positions (direct):
Y  0.3754  0.3754  0.8737
Y  0.8737  0.3754  0.3754
Al  0.7500  0.7500  0.7500
Y  0.3754  0.3754  0.3754
Au  0.0000  0.0000  0.0000
Y  0.3754  0.8737  0.3754

Results
V = 153 Å³/cell
calculated formation energy = 2.04 eV per formula unit
energy = -31.040 eV per atom
space-group type = F-43m, No. 216

(7)
## SmGe12Pt4 (SCAN)

Data for SmGe12Pt4 at its PBEsol-relaxed geometry.

abc: 7.4428 7.4428 7.4428
angles: 109.47 109.47 109.47
Positions (direct):
Ge  0.8495  0.3535  0.2030
Pt  0.5000  0.5000  0.5000
Ge  0.8495  0.6465  0.4960
Pt  0.0000  0.5000  0.0000
Ge  0.6465  0.4960  0.8495
Ge  0.3535  0.2030  0.8495
Sm  0.0000  0.0000  0.0000
Ge  0.1505  0.3535  0.5040
Ge  0.6465  0.7970  0.1505
Ge  0.3535  0.5040  0.1505
Ge  0.4960  0.8495  0.6465
Pt  0.0000  0.0000  0.5000
Ge  0.1505  0.6465  0.7970
Pt  0.5000  0.0000  0.0000
Ge  0.7970  0.1505  0.6465
Ge  0.2030  0.8495  0.3535
Ge  0.5040  0.1505  0.3535

Results
V = 317 Å³/cell
calculated formation energy = -8.41 eV per formula unit
energy = -33.099 eV per atom
space-group type = Im-3, No. 204

(8)
## K2LaBr (SCAN)

Data for K2LaBr at its PBEsol-relaxed geometry.

abc: 3.9067 3.9067 12.4258
angles: 90.00 90.00 116.77
Last column: magnetic moment on the atom in μB.
Positions (direct):
La  0.0000  0.0000  0.4450  0.31
Br  0.5000  0.5000  0.2576  0.01
K  0.5000  0.5000  0.7357  0.01
K  0.0000  0.0000  0.0617  0.00

Results
V = 169 Å³/cell
energy = -20.404 eV per atom
space-group type = Cmm2, No. 35

(9)
## CrNi2Pb (SCAN)

Data for CrNi2Pb at its PBEsol-relaxed geometry.

abc: 3.8200 3.8200 4.7088
angles: 113.93 113.93 90.00
Last column: magnetic moment on the atom in μB.
Positions (direct):
Pb  0.5000  0.5000  0.0000  -0.06
Cr  0.7500  0.2500  0.5000  3.41
Ni  0.2500  0.7500  0.5000  0.29
Ni  0.0000  0.0000  0.0000  0.34

Results
V = 56 Å³/cell
calculated formation energy = 0.91 eV per formula unit
energy = -31.401 eV per atom
space-group type = I-4m2, No. 119

(10)
## ScNiAs2Se (SCAN)

Data for ScNiAs2Se at its PBEsol-relaxed geometry.

abc: 4.4769 4.4769 4.8431
angles: 90.00 90.00 90.00
Positions (direct):
As  0.0000  0.5000  0.0000
Sc  0.5000  0.5000  0.5000
As  0.5000  0.0000  0.0000
Se  0.0000  0.0000  0.5000
Ni  0.0000  0.0000  0.0000

Results
V = 97 Å³/cell
energy = -18.303 eV per atom
space-group type = P4/mmm, No. 123

(11)
## Cu2PdAuSe (SCAN)

Data for Cu2PdAuSe at its PBEsol-relaxed geometry.

abc: 4.5315 4.5315 4.9294
angles: 90.00 90.00 90.00
Positions (direct):
Pd  0.0000  0.0000  0.0000
Cu  0.0000  0.5000  0.0000
Cu  0.5000  0.0000  0.0000
Au  0.0000  0.0000  0.5000
Se  0.5000  0.5000  0.5000

Results
V = 101 Å³/cell
energy = -29.545 eV per atom
space-group type = P4/mmm, No. 123

(12)
## Mn5Fe (SCAN)

Data for Mn5Fe at its PBEsol-relaxed geometry.

abc: 2.4402 3.9251 6.4878
angles: 90.00 100.84 90.00
Positions (direct):
Mn  0.7770  0.5000  0.5540
Mn  0.4448  0.5000  0.8895
Fe  0.9996  0.0000  0.9993
Mn  0.6658  0.0000  0.3316
Mn  0.3350  0.0000  0.6700
Mn  0.1111  0.5000  0.2223

Results
V = 61 Å³/cell
calculated formation energy = 1.51 eV per formula unit
energy = -17.983 eV per atom
space-group type = Amm2, No. 38

(13)
## Li3CaGa (SCAN)

Data for Li3CaGa at its PBEsol-relaxed geometry.

abc: 4.8563 4.8563 4.8563
angles: 90.00 90.00 90.00
Positions (direct):
Ga  0.0000  0.0000  0.0000
Ca  0.5000  0.5000  0.5000
Li  0.0000  0.0000  0.5000
Li  0.5000  0.0000  0.0000
Li  0.0000  0.5000  0.0000

Results
V = 115 Å³/cell
calculated formation energy = -0.31 eV per formula unit
energy = -6.698 eV per atom
space-group type = Pm-3m, No. 221

(14)
## V6CuO15 (SCAN)

Data for V6CuO15 at its PBEsol-relaxed geometry.

abc: 7.1916 7.8355 10.0674
angles: 73.03 89.94 76.56
Last column: magnetic moment on the atom in μB.
Positions (direct):
V  0.3327  0.6625  0.9059  0.28
V  0.8308  0.6752  0.8972  0.24
V  0.1440  0.4356  0.4050  0.15
O  0.2860  0.8640  0.7916  -0.03
O  0.8155  0.7335  0.0746  0.01
O  0.0000  0.0000  0.0000  0.04
O  0.3162  0.7325  0.0833  0.01
O  0.5782  0.7986  0.2703  0.02
O  0.9091  0.3692  0.0527  -0.02
O  0.9821  0.2048  0.7292  0.03
O  0.2231  0.1278  0.2138  -0.03
O  0.1210  0.5199  0.5726  -0.01
V  0.1692  0.3248  0.1028  0.24
O  0.6248  0.4958  0.5820  -0.01
O  0.8708  0.5208  0.7804  -0.03
O  0.4218  0.2014  0.7297  0.02
O  0.1292  0.4792  0.2196  -0.03
O  0.6317  0.4798  0.2192  -0.03
V  0.5581  0.7717  0.1165  -0.22
O  0.4051  0.3782  0.0498  -0.01
V  0.3586  0.5780  0.5921  0.13
O  0.6838  0.2675  0.9167  0.01
O  0.2089  0.2134  0.4693  -0.01
V  0.6673  0.3375  0.0941  0.28
V  0.4419  0.2283  0.8835  -0.22
V  0.6414  0.4220  0.4079  0.13
Cu  0.7660  0.9135  0.3421  -0.01
O  0.3141  0.7953  0.5426  -0.02
O  0.5000  0.0000  0.0000  0.04
O  0.5949  0.6218  0.9502  -0.01
O  0.7911  0.7866  0.5307  -0.01
O  0.0179  0.7952  0.2708  0.03
O  0.7769  0.8722  0.7862  -0.03
O  0.8790  0.4801  0.4274  -0.01
O  0.3752  0.5042  0.4180  -0.01
V  0.9462  0.2284  0.8845  -0.24
Cu  0.2340  0.0865  0.6579  -0.01
O  0.0909  0.6308  0.9473  -0.02
O  0.6859  0.2047  0.4574  -0.02
O  0.1845  0.2665  0.9254  0.01
O  0.3683  0.5202  0.7808  -0.03
V  0.0538  0.7716  0.1155  -0.24
O  0.7140  0.1360  0.2084  -0.03
V  0.8560  0.5644  0.5950  0.15

Results
V = 526 Å³/cell
energy = -12.091 eV per atom
space-group type = P-1, No. 2

(15)
## TiBr2 (SCAN)

Data for TiBr2 at its PBEsol-relaxed geometry.

abc: 3.4188 3.4188 6.8326
angles: 90.00 90.00 120.00
Last column: magnetic moment on the atom in μB.
Positions (direct):
Br  0.6667  0.3333  0.7535  0.01
Ti  0.0000  0.0000  0.0000  1.53
Br  0.3333  0.6667  0.2465  0.01

Results
V = 69 Å³/cell
energy = -19.487 eV per atom
space-group type = P-3m1, No. 164

(16)
## Li2FePHO5 (SCAN)

Data for Li2FePHO5 at its PBEsol-relaxed geometry.

abc: 5.3170 5.4784 7.4045
angles: 108.94 110.33 93.59
Last column: magnetic moment on the atom in μB.
Positions (direct):
O  0.6142  0.7758  0.9344  -0.02
O  0.7312  0.2362  0.4016  0.04
O  0.1705  0.9514  0.2742  0.00
O  0.6419  0.6640  0.3417  0.03
O  0.3858  0.2242  0.0656  -0.02
P  0.6669  0.3744  0.2407  0.00
Fe  0.0000  0.0000  0.0000  -3.62
O  0.3581  0.3360  0.6583  0.03
O  0.1150  0.6409  0.8541  -0.03
Fe  0.0000  0.0000  0.5000  3.66
O  0.8295  0.0486  0.7258  0.00
Li  0.4906  0.8670  0.1653  0.00
O  0.8850  0.3591  0.1459  -0.03
P  0.3331  0.6256  0.7593  0.00
H  0.6879  0.8903  0.6275  0.00
H  0.3121  0.1097  0.3725  0.00
Li  0.5094  0.1330  0.8347  0.00
O  0.2688  0.7638  0.5984  0.04
Li  0.7755  0.3872  0.7003  0.00
Li  0.2245  0.6128  0.2997  0.00

Results
V = 188 Å³/cell
energy = -8.883 eV per atom
space-group type = P-1, No. 2

(17)
## MoCI2N (SCAN)

Data for MoCI2N at its PBEsol-relaxed geometry.

abc: 3.7604 5.4002 5.4002
angles: 90.00 90.00 90.00
Last column: magnetic moment on the atom in μB.
Positions (direct):
C  0.5000  0.5000  0.5000  0.92
I  0.0000  0.5000  0.0000  -0.06
Mo  0.0000  0.0000  0.0000  0.85
I  0.0000  0.0000  0.5000  -0.06
N  0.5000  0.0000  0.0000  -0.12

Results
V = 110 Å³/cell
energy = -23.980 eV per atom
space-group type = P4/mmm, No. 123

(18)
## Fe2Te (SCAN)

Data for Fe2Te at its PBEsol-relaxed geometry.

abc: 3.3104 4.5687 6.5569
angles: 71.30 75.38 68.76
Last column: magnetic moment on the atom in μB.
Positions (direct):
Fe  0.6705  0.7168  0.9421  2.62
Fe  0.3295  0.2832  0.0579  2.62
Te  0.0133  0.2343  0.7392  -0.03
Fe  0.3285  0.7239  0.6191  2.46
Te  0.9867  0.7657  0.2608  -0.03
Fe  0.6715  0.2761  0.3809  2.46

Results
V = 87 Å³/cell
energy = -24.200 eV per atom
space-group type = C2/m, No. 12

(19)
## KTlSi2 (SCAN)

Data for KTlSi2 at its PBEsol-relaxed geometry.

abc: 3.0970 3.0970 9.6736
angles: 90.00 90.00 90.00
Positions (direct):
Tl  0.5000  0.5000  0.0000
Si  0.0000  0.0000  0.7683
K  0.5000  0.5000  0.5000
Si  0.0000  0.0000  0.2317

Results
V = 93 Å³/cell
energy = -24.451 eV per atom
space-group type = P4/mmm, No. 123

(20)
## I (SCAN)

Data for I at its PBEsol-relaxed geometry.

abc: 6.3065 6.3452 8.8635
angles: 83.80 86.90 81.99
Positions (direct):
I  0.7262  0.5006  0.2068
I  0.5922  0.7891  0.8242
I  0.7996  0.2932  0.5086
I  0.4078  0.2109  0.1758
I  0.8834  0.1010  0.8196
I  0.2004  0.7068  0.4914
I  0.1166  0.8990  0.1804
I  0.2738  0.4994  0.7932

Results
V = 349 Å³/cell
energy = -36.719 eV per atom
space-group type = P-1, No. 2

(21)
## OsPdI2O (SCAN)

Data for OsPdI2O at its PBEsol-relaxed geometry.

abc: 3.5953 5.4862 5.4862
angles: 90.00 90.00 90.00
Positions (direct):
Pd  0.5000  0.5000  0.5000
Os  0.5000  0.0000  0.0000
O  0.0000  0.0000  0.0000
I  0.0000  0.5000  0.0000
I  0.0000  0.0000  0.5000

Results
V = 108 Å³/cell
energy = -35.941 eV per atom
space-group type = P4/mmm, No. 123

(22)
## TaSe5 (SCAN)

Data for TaSe5 at its PBEsol-relaxed geometry.

abc: 4.8745 5.1680 5.1680
angles: 120.00 90.00 90.00
Positions (direct):
Se  0.5000  0.3333  0.6667
Se  0.0000  0.0000  0.7114
Se  0.5000  0.6667  0.3333
Se  0.0000  0.2886  0.2886
Se  0.0000  0.7114  0.0000
Ta  0.5000  0.0000  0.0000

Results
V = 113 Å³/cell
energy = -27.479 eV per atom
space-group type = P-62m, No. 189

(23)
## KBe2Zn (SCAN)

Data for KBe2Zn at its PBEsol-relaxed geometry.

abc: 2.5265 3.6828 7.3289
angles: 90.00 90.00 90.00
Positions (direct):
Zn  0.5000  0.5000  0.5000
Be  0.0000  0.0000  0.3494
K  0.5000  0.5000  0.0000
Be  0.0000  0.0000  0.6506

Results
V = 68 Å³/cell
calculated formation energy = 2.17 eV per formula unit
energy = -7.095 eV per atom
space-group type = Pmmm, No. 47

(24)
## RePb2Br (SCAN)

Data for RePb2Br at its PBEsol-relaxed geometry.

abc: 4.9961 4.9961 4.9961
angles: 60.00 60.00 60.00
Positions (direct):
Pb  0.0000  0.0000  0.0000
Br  0.5000  0.5000  0.5000
Pb  0.7500  0.7500  0.7500
Re  0.2500  0.2500  0.2500

Results
V = 88 Å³/cell
energy = -59.384 eV per atom
space-group type = F-43m, No. 216

(25)
## Ca2TlCo (SCAN)

Data for Ca2TlCo at its PBEsol-relaxed geometry.

abc: 4.9483 4.9483 4.9483
angles: 60.00 60.00 60.00
Last column: magnetic moment on the atom in μB.
Positions (direct):
Co  0.5000  0.5000  0.5000  1.90
Ca  0.0000  0.0000  0.0000  -0.01
Tl  0.2500  0.2500  0.2500  -0.01
Ca  0.7500  0.7500  0.7500  0.01

Results
V = 86 Å³/cell
calculated formation energy = 0.48 eV per formula unit
energy = -27.128 eV per atom
space-group type = F-43m, No. 216